(1)
The following is a PBE calculation of KP2Ir after structural relaxation, from Alexandria via LeMat-Bulk.

Geometry as POSCAR:
```
KP2Ir
1.0
-3.489 3.489 4.358
3.489 -3.489 4.358
3.489 3.489 -4.358
K P Ir
2 4 2
Cartesian
0.000 0.000 0.000
0.000 3.489 2.179
1.745 -0.905 3.268
2.584 1.745 1.089
1.745 4.394 -1.089
0.905 1.745 5.447
3.489 0.000 2.179
0.000 0.000 4.358
```

Values from the calculation:
Its energy above the lowest structure with this stoichiometry is 128 meV/atom. Its formation energy is -0.247 eV per atom. As for the spin magnetization: 0.00 μB/f.u. As for the density of states at the Fermi level: 3.0 states/eV/f.u. The calculation puts the total energy at -5.441 eV per atom.

---

(2)
The following is a PBE calculation of K2PIr after structural relaxation, from Alexandria via LeMat-Bulk.

Geometry as POSCAR:
```
K2PIr
1.0
-1.962 1.962 11.129
1.962 -1.962 11.129
1.962 1.962 -11.129
K P Ir
4 2 2
Cartesian
2.944 0.976 -2.782
0.976 0.981 2.782
-0.981 0.986 8.347
0.986 0.981 13.911
0.000 0.000 0.000
0.000 1.962 5.564
1.962 0.000 5.564
0.000 0.000 11.129
```

Values from the calculation:
Its formation energy is 0.779 eV per atom. As for the spin magnetization: 0.00 μB/f.u. As for the density of states at the Fermi level: 3.0 states/eV/f.u. The calculation puts the total energy at -3.337 eV per atom.

---

(3)
The following is a PBE calculation of KP4Ir after structural relaxation, from Alexandria via LeMat-Bulk.

Geometry as POSCAR:
```
KP4Ir
1.0
0.000 3.876 3.876
3.876 0.000 3.876
3.876 3.876 0.000
K P Ir
1 4 1
Cartesian
0.000 0.000 0.000
4.682 3.071 3.071
3.071 4.682 3.071
3.071 3.071 4.682
4.682 4.682 4.682
1.938 1.938 1.938
```

Values from the calculation:
Its formation energy is 0.709 eV per atom. As for the spin magnetization: 1.46 μB/f.u. As for the density of states at the Fermi level: 6.0 states/eV/f.u. The calculation puts the total energy at -4.557 eV per atom.

---

(4)
The following is a PBE calculation of KP2Ir after structural relaxation, from Alexandria via LeMat-Bulk.

Geometry as POSCAR:
```
KP2Ir
1.0
3.268 0.000 0.000
0.000 3.268 0.000
0.000 0.000 7.441
K P Ir
1 2 1
Cartesian
0.000 0.000 0.000
0.000 0.000 3.861
1.634 1.634 2.291
1.634 1.634 4.648
```

Values from the calculation:
Its energy above the lowest structure with this stoichiometry is 568 meV/atom. Its formation energy is 0.193 eV per atom. As for the spin magnetization: 0.00 μB/f.u. As for the density of states at the Fermi level: 2.8 states/eV/f.u. The calculation puts the total energy at -5.002 eV per atom.

---

(5)
The following is a PBE calculation of KP2Ir after structural relaxation, from Alexandria via LeMat-Bulk.

Geometry as POSCAR:
```
KP2Ir
1.0
4.790 -1.679 0.000
4.790 1.679 0.000
-1.516 0.000 5.878
K P Ir
1 2 1
Cartesian
0.000 0.000 0.000
0.961 0.000 3.446
3.690 0.000 2.982
6.953 0.000 2.417
```

Values from the calculation:
Its energy above the lowest structure with this stoichiometry is 288 meV/atom. Its formation energy is -0.087 eV per atom. As for the spin magnetization: 0.00 μB/f.u. As for the density of states at the Fermi level: 1.0 states/eV/f.u. The calculation puts the total energy at -5.281 eV per atom.

---

(6)
The following is a PBE calculation of KPIr3 after structural relaxation, from Alexandria via LeMat-Bulk.

Geometry as POSCAR:
```
KPIr3
1.0
4.524 0.000 0.000
0.000 4.524 0.000
0.000 0.000 4.524
K P Ir
1 1 3
Cartesian
0.000 0.000 0.000
2.262 2.262 2.262
0.000 2.262 2.262
2.262 0.000 2.262
2.262 2.262 0.000
```

Values from the calculation:
Its energy above the lowest structure with this stoichiometry is 0 meV/atom. Its formation energy is 0.519 eV per atom. As for the spin magnetization: 0.00 μB/f.u. As for the density of states at the Fermi level: 4.3 states/eV/f.u. The calculation puts the total energy at -6.099 eV per atom.

---

(7)
The following is a PBE calculation of KPIr3 after structural relaxation, from Alexandria via LeMat-Bulk.

Geometry as POSCAR:
```
KPIr3
1.0
4.709 0.000 0.000
0.000 4.709 0.000
0.000 0.000 4.709
K P Ir
1 1 3
Cartesian
0.000 0.000 0.000
2.355 2.355 2.355
0.000 0.000 2.355
0.000 2.355 0.000
2.355 0.000 0.000
```

Values from the calculation:
Its energy above the lowest structure with this stoichiometry is 2835 meV/atom. Its formation energy is 3.354 eV per atom. As for the spin magnetization: 1.40 μB/f.u. As for the density of states at the Fermi level: 5.6 states/eV/f.u. The calculation puts the total energy at -3.265 eV per atom.

---

(8)
The following is a PBE calculation of K2PIr after structural relaxation, from Alexandria via LeMat-Bulk.

Geometry as POSCAR:
```
K2PIr
1.0
5.699 0.000 0.000
-2.849 4.935 0.000
0.000 0.000 4.387
K P Ir
2 1 1
Cartesian
0.000 0.000 0.000
0.000 3.290 2.193
2.849 1.645 0.000
2.849 1.645 2.193
```

Values from the calculation:
Its formation energy is -0.257 eV per atom. As for the spin magnetization: 0.00 μB/f.u. As for the density of states at the Fermi level: 1.4 states/eV/f.u. The calculation puts the total energy at -4.373 eV per atom.

---

(9)
The following is a PBE calculation of K2PIr after structural relaxation, from Alexandria via LeMat-Bulk.

Geometry as POSCAR:
```
K2PIr
1.0
3.292 0.000 0.000
0.000 3.292 0.000
0.000 0.000 10.027
K P Ir
2 1 1
Cartesian
0.000 0.000 0.000
1.646 1.646 4.287
0.000 0.000 6.702
1.646 1.646 7.508
```

Values from the calculation:
Its formation energy is -0.007 eV per atom. As for the spin magnetization: 0.00 μB/f.u. As for the density of states at the Fermi level: 3.0 states/eV/f.u. The calculation puts the total energy at -4.123 eV per atom.

---

(10)
The following is a PBE calculation of KP2Ir6 after structural relaxation, from Alexandria via LeMat-Bulk.

Geometry as POSCAR:
```
KP2Ir6
1.0
7.618 0.000 0.000
-3.809 6.597 0.000
0.000 0.000 3.050
K P Ir
1 2 6
Cartesian
0.000 0.000 0.000
0.000 4.398 0.000
3.809 2.199 0.000
0.000 2.667 1.525
-1.499 5.264 1.525
2.309 1.333 1.525
1.499 5.264 1.525
5.308 1.333 1.525
3.809 3.931 1.525
```

Values from the calculation:
Its formation energy is 0.282 eV per atom. As for the spin magnetization: 0.00 μB/f.u. As for the density of states at the Fermi level: 5.0 states/eV/f.u. The calculation puts the total energy at -6.950 eV per atom.

---

(11)
The following is a PBE calculation of KP3Ir after structural relaxation, from Alexandria via LeMat-Bulk.

Geometry as POSCAR:
```
KP3Ir
1.0
4.899 0.000 0.000
0.000 4.899 0.000
0.000 0.000 4.899
K P Ir
1 3 1
Cartesian
0.000 0.000 0.000
0.000 0.000 2.449
0.000 2.449 0.000
2.449 0.000 0.000
2.449 2.449 2.449
```

Values from the calculation:
Its energy above the lowest structure with this stoichiometry is 2289 meV/atom. Its formation energy is 2.734 eV per atom. As for the spin magnetization: 0.00 μB/f.u. As for the density of states at the Fermi level: 3.7 states/eV/f.u. The calculation puts the total energy at -2.503 eV per atom.

---

(12)
The following is a PBE calculation of K2PIr after structural relaxation, from Alexandria via LeMat-Bulk.

Geometry as POSCAR:
```
K2PIr
1.0
1.490 0.860 10.865
-1.490 0.860 10.865
0.000 -1.721 10.865
K P Ir
2 1 1
Cartesian
0.000 0.000 8.097
0.000 0.000 24.498
0.000 0.000 16.298
0.000 0.000 0.000
```

Values from the calculation:
Its formation energy is 0.711 eV per atom. As for the spin magnetization: 0.31 μB/f.u. As for the density of states at the Fermi level: 3.3 states/eV/f.u. The calculation puts the total energy at -3.406 eV per atom.

---

(13)
The following is a PBE calculation of K3PIr after structural relaxation, from Alexandria via LeMat-Bulk.

Geometry as POSCAR:
```
K3PIr
1.0
6.034 0.000 0.000
0.000 6.034 0.000
0.000 0.000 6.034
K P Ir
3 1 1
Cartesian
0.000 0.000 3.017
0.000 3.017 0.000
3.017 0.000 0.000
3.017 3.017 3.017
0.000 0.000 0.000
```

Values from the calculation:
Its formation energy is 0.955 eV per atom. As for the spin magnetization: 3.00 μB/f.u. As for the density of states at the Fermi level: 2.3 states/eV/f.u. The calculation puts the total energy at -2.557 eV per atom.

---

(14)
The following is a PBE calculation of KP3Ir after structural relaxation, from Alexandria via LeMat-Bulk.

Geometry as POSCAR:
```
KP3Ir
1.0
4.787 0.000 0.000
0.000 4.787 0.000
0.000 0.000 4.787
K P Ir
1 3 1
Cartesian
0.000 0.000 0.000
0.000 2.394 2.394
2.394 0.000 2.394
2.394 2.394 0.000
2.394 2.394 2.394
```

Values from the calculation:
Its energy above the lowest structure with this stoichiometry is 0 meV/atom. Its formation energy is 0.445 eV per atom. As for the spin magnetization: 0.00 μB/f.u. As for the density of states at the Fermi level: 6.5 states/eV/f.u. The calculation puts the total energy at -4.793 eV per atom.

---

(15)
The following is a PBE calculation of KP2Ir after structural relaxation, from Alexandria via LeMat-Bulk.

Geometry as POSCAR:
```
KP2Ir
1.0
3.283 0.000 0.000
0.000 3.283 0.000
0.000 0.000 7.068
K P Ir
1 2 1
Cartesian
0.000 0.000 0.000
1.641 1.641 2.399
1.641 1.641 4.669
0.000 0.000 3.534
```

Values from the calculation:
Its energy above the lowest structure with this stoichiometry is 319 meV/atom. Its formation energy is -0.056 eV per atom. As for the spin magnetization: 0.00 μB/f.u. As for the density of states at the Fermi level: 0.9 states/eV/f.u. The calculation puts the total energy at -5.250 eV per atom.

---

(16)
The following is a PBE calculation of KP2Ir after structural relaxation, from Alexandria via LeMat-Bulk.

Geometry as POSCAR:
```
KP2Ir
1.0
-1.984 1.984 4.500
1.984 -1.984 4.500
1.984 1.984 -4.500
K P Ir
1 2 1
Cartesian
0.000 0.000 0.000
1.984 0.000 2.250
0.000 0.000 4.500
0.000 1.984 2.250
```

Values from the calculation:
Its energy above the lowest structure with this stoichiometry is 1278 meV/atom. Its formation energy is 0.903 eV per atom. As for the spin magnetization: 0.00 μB/f.u. As for the density of states at the Fermi level: 3.2 states/eV/f.u. The calculation puts the total energy at -4.292 eV per atom.

---

(17)
The following is a PBE calculation of KP2Ir after structural relaxation, from Alexandria via LeMat-Bulk.

Geometry as POSCAR:
```
KP2Ir
1.0
4.287 0.000 0.000
0.000 4.287 0.000
0.000 0.000 3.806
K P Ir
1 2 1
Cartesian
0.000 0.000 0.000
0.000 2.144 1.903
2.144 0.000 1.903
2.144 2.144 0.000
```

Values from the calculation:
Its energy above the lowest structure with this stoichiometry is 1202 meV/atom. Its formation energy is 0.827 eV per atom. As for the spin magnetization: 0.00 μB/f.u. As for the density of states at the Fermi level: 2.1 states/eV/f.u. The calculation puts the total energy at -4.368 eV per atom.

---

(18)
The following is a PBE calculation of KP2Ir after structural relaxation, from Alexandria via LeMat-Bulk.

Geometry as POSCAR:
```
KP2Ir
1.0
0.000 3.267 3.267
3.267 0.000 3.267
3.267 3.267 0.000
K P Ir
1 2 1
Cartesian
0.000 0.000 0.000
1.634 1.634 1.634
3.267 3.267 3.267
4.901 4.901 4.901
```

Values from the calculation:
Its energy above the lowest structure with this stoichiometry is 1391 meV/atom. Its formation energy is 1.016 eV per atom. As for the spin magnetization: 0.00 μB/f.u. As for the density of states at the Fermi level: 2.4 states/eV/f.u. The calculation puts the total energy at -4.178 eV per atom.

---

(19)
The following is a PBE calculation of K2PIr after structural relaxation, from Alexandria via LeMat-Bulk.

Geometry as POSCAR:
```
K2PIr
1.0
0.000 3.521 3.521
3.521 0.000 3.521
3.521 3.521 0.000
K P Ir
2 1 1
Cartesian
0.000 0.000 0.000
1.761 1.761 1.761
5.282 5.282 5.282
3.521 3.521 3.521
```

Values from the calculation:
Its formation energy is 0.692 eV per atom. As for the spin magnetization: 0.00 μB/f.u. As for the density of states at the Fermi level: 4.8 states/eV/f.u. The calculation puts the total energy at -3.424 eV per atom.

---

(20)
The following is a PBE calculation of K2PIr after structural relaxation, from Alexandria via LeMat-Bulk.

Geometry as POSCAR:
```
K2PIr
1.0
3.414 -2.010 0.000
3.414 2.010 0.000
-2.127 0.000 9.506
K P Ir
2 1 1
Cartesian
0.000 0.000 0.000
-0.002 0.000 5.042
4.556 0.000 2.522
2.278 0.000 2.521
```

Values from the calculation:
Its formation energy is -0.242 eV per atom. As for the spin magnetization: 0.00 μB/f.u. As for the density of states at the Fermi level: 3.8 states/eV/f.u. The calculation puts the total energy at -4.359 eV per atom.